Below is a relaxed K2LiBiI6 crystal, with properties calculated at the PBE-GGA level.

a b c (Å): 12.0688 12.0688 12.0688
angles (deg): 90.00 90.00 90.00
Space group Fm-3m (No. 225)
Symmetry-distinct sites (fractional):
K1 0.2500 0.2500 0.2500 x8
Li1 0.0000 0.0000 0.0000 x4
Bi1 0.0000 0.0000 0.5000 x4
I1 0.0000 0.0000 0.2453 x24

Results
- Energy relative to the lowest polymorph listed for this composition: 5.4 kJ/mol of atoms
- Formation energy (no corrections): -945.1 meV per atom
- Fermi-level density of states: 0.0 states/eV/cell

=====

Below is a relaxed KLi2BiI6 crystal, with properties calculated at the PBE-GGA level.

a b c (Å): 7.9385 7.9385 21.6187
angles (deg): 90.00 90.00 120.00
Space group R3 (No. 146, hexagonal axes)
Symmetry-distinct sites (fractional):
K1 0.0000 0.0000 0.0000 x3
Li1 0.0000 0.0000 0.2819 x3
Li2 0.0000 0.0000 0.8051 x3
Bi1 0.0000 0.0000 0.4786 x3
I1 0.9997 0.3508 0.5503 x9
I2 0.0040 0.5956 0.0564 x9

Results
- Formation energy (no corrections): -927.1 meV per atom
- Fermi-level density of states: 0.0 states/eV/cell

=====

Below is a relaxed KMnBiI6 crystal, with properties calculated at the PBE-GGA level.

a b c (Å): 7.7943 7.7943 15.6350
angles (deg): 90.00 90.00 120.00
Space group P-31c (No. 163)
Symmetry-distinct sites (fractional):
K1 0.0000 0.0000 0.0000 x2
Mn1 0.3333 0.6667 0.2500 x2
Bi1 0.3333 0.6667 0.7500 x2
I1 0.0190 0.3787 0.1396 x12

Results
- Formation energy (no corrections): -668.4 meV per atom
- Fermi-level density of states: 0.0 states/eV/cell

=====

Below is a relaxed KBiI2N crystal, with properties calculated at the PBE-GGA level.

a b c (Å): 6.3829 6.3829 4.8939
angles (deg): 90.00 90.00 90.00
Space group P4/mmm (No. 123)
Symmetry-distinct sites (fractional):
K1 0.0000 0.0000 0.0000 x1
Bi1 0.5000 0.5000 0.5000 x1
I1 0.0000 0.5000 0.0000 x2
N1 0.0000 0.0000 0.5000 x1

Results
- Energy relative to the lowest polymorph listed for this composition: 87.3 kJ/mol of atoms
- Formation energy (no corrections): 895.7 meV per atom
- Fermi-level density of states: 4.6 states/eV/cell

=====

Below is a relaxed KBiIN2 crystal, with properties calculated at the PBE-GGA level.

a b c (Å): 4.5956 4.5956 6.7803
angles (deg): 90.00 90.00 90.00
Space group P4/mmm (No. 123)
Symmetry-distinct sites (fractional):
K1 0.0000 0.0000 0.0000 x1
Bi1 0.5000 0.5000 0.5000 x1
I1 0.5000 0.5000 0.0000 x1
N1 0.0000 0.5000 0.5000 x2

Results
- Energy relative to the lowest polymorph listed for this composition: 0.0 kJ/mol of atoms
- Formation energy (no corrections): 858.1 meV per atom
- Fermi-level density of states: 2.5 states/eV/cell

=====

Below is a relaxed KBiI2N crystal, with properties calculated at the PBE-GGA level.

a b c (Å): 6.5052 6.5052 4.3136
angles (deg): 90.00 90.00 90.00
Space group P4/mmm (No. 123)
Symmetry-distinct sites (fractional):
K1 0.0000 0.0000 0.0000 x1
Bi1 0.5000 0.5000 0.5000 x1
I1 0.0000 0.5000 0.5000 x2
N1 0.5000 0.5000 0.0000 x1

Results
- Energy relative to the lowest polymorph listed for this composition: 0.0 kJ/mol of atoms
- Formation energy (no corrections): -8.9 meV per atom
- Fermi-level density of states: 3.8 states/eV/cell

=====

Below is a relaxed KBiIN2 crystal, with properties calculated at the PBE-GGA level.

a b c (Å): 5.1054 5.1054 6.7585
angles (deg): 90.00 90.00 90.00
Space group P4/mmm (No. 123)
Symmetry-distinct sites (fractional):
K1 0.0000 0.0000 0.0000 x1
Bi1 0.5000 0.5000 0.5000 x1
I1 0.0000 0.0000 0.5000 x1
N1 0.0000 0.5000 0.0000 x2

Results
- Energy relative to the lowest polymorph listed for this composition: 93.4 kJ/mol of atoms
- Formation energy (no corrections): 1825.8 meV per atom
- Fermi-level density of states: 3.8 states/eV/cell

=====

Below is a relaxed K2NaBiI6 crystal, with properties calculated at the PBE-GGA level.

a b c (Å): 8.5954 8.5954 21.5086
angles (deg): 90.00 90.00 120.00
Space group R3 (No. 146, hexagonal axes)
Symmetry-distinct sites (fractional):
K1 0.0000 0.0000 0.0000 x3
K2 0.0000 0.0000 0.4908 x3
Na1 0.0000 0.0000 0.2105 x3
Bi1 0.0000 0.0000 0.7033 x3
I1 0.0044 0.4030 0.4498 x9
I2 0.0696 0.7140 0.2828 x9

Results
- Formation energy (no corrections): -1013.6 meV per atom
- Fermi-level density of states: 0.0 states/eV/cell

=====

Q: Look up the Fermi-level density of states of the third one.
A: 0.0 states/eV/cell

=====

Q: What is the formula in the fourth record?
A: KBiI2N

=====

Q: Which of these has the lowest formation energy (no corrections)?
A: K2NaBiI6

=====

Q: The highest formation energy (no corrections) belongs to which entry?
A: number 7